AcTh2Te7 (PBE-GGA, optimized geometry); mass density = 7.56 g/cm³; formation energy from raw total energies = -0.917 eV/atom; space group = I4/mmm (139)
1.0
-2.5766 2.5766 13.1005
2.5766 -2.5766 13.1005
2.5766 2.5766 -13.1005
Ac Th Te
1 2 7
Cartesian
0.0000 0.0000 0.0000
0.0000 0.0000 8.4645
0.0000 0.0000 17.7365
2.5766 0.0000 2.6559
2.5766 0.0000 6.5503
2.5766 0.0000 10.4446
0.0000 0.0000 13.1005
0.0000 2.5766 2.6559
0.0000 2.5766 6.5503
0.0000 2.5766 10.4446